A crystal of Ca2ZnSb2 relaxed with PBEsol. Source: Alexandria, functional SCAN.

Values from the calculation:
space group = Pm (6)
uncorrected formation energy = -0.869 eV per atom

Cell and atoms, written as extended XYZ:
```
45
Lattice="12.2764 0.0000 0.0000 0.0000 4.5233 0.0000 -0.2302 0.0000 21.6247" Properties=species:S:1:pos:R:3 pbc="T T T"
Ca 0.0000 0.0000 0.0000
Ca 0.0153 0.0000 8.0460
Ca 0.6059 0.0000 11.8723
Ca 1.5876 2.2616 2.9336
Ca 2.1779 0.0000 15.8149
Ca 2.8973 0.0000 19.4942
Ca 3.1596 0.0000 5.7963
Ca 3.7409 2.2616 11.7171
Ca 5.1846 2.2616 0.6810
Ca 5.9559 0.0000 16.8529
Ca 6.1835 0.0000 8.3276
Ca 6.8716 0.0000 4.7807
Ca 7.6050 2.2616 13.8386
Ca 8.5793 0.0000 0.9759
Ca 9.0874 0.0000 18.8926
Ca 9.3110 0.0000 10.7780
Ca 10.2886 2.2616 5.1134
Ca 11.0996 2.2616 16.0419
Zn -0.0151 2.2616 19.4671
Zn 3.0520 2.2616 8.0866
Zn 4.0915 2.2616 14.8006
Zn 4.9451 2.2616 3.8254
Zn 5.7473 0.0000 11.2220
Zn 6.1950 2.2616 18.9283
Zn 9.2232 2.2616 8.5473
Zn 10.5265 2.2616 1.9483
Zn 10.9182 2.2616 12.7816
Sb -0.0585 0.0000 18.0041
Sb 1.0643 2.2616 6.1941
Sb 1.3744 2.2616 13.8347
Sb 1.9092 2.2616 21.4121
Sb 3.1452 0.0000 9.6416
Sb 3.9465 0.0000 2.7248
Sb 3.7865 2.2616 17.4114
Sb 5.1863 0.0000 13.7822
Sb 5.3187 2.2616 6.4747
Sb 6.0872 0.0000 20.3495
Sb 7.0563 2.2616 10.5742
Sb 7.7375 2.2616 2.9174
Sb 8.0876 2.2616 16.9437
Sb 9.1182 0.0000 7.1485
Sb 9.9354 0.0000 13.8814
Sb 9.8890 2.2616 20.9480
Sb 11.5037 0.0000 3.1160
Sb 11.4510 2.2616 10.1409
```